1.
{
  "formula": "KHoCuF6",
  "functional": "GGA-PBE",
  "state": "relaxed",
  "n_ef_per_ev_atom": 0.009,
  "final_energy_ev_per_cell": -94.9,
  "lattice": [[7.2977, 0.0000, 0.0000], [0.0000, 7.4249, 0.0000], [-3.6489, -3.7125, 5.0837]],
  "species": ["F", "K", "Cu", "K", "F", "Ho", "F", "F", "F", "F", "F", "Cu", "F", "F", "F", "Ho", "F", "F"],
  "fractional_positions": [[0.1242, 0.8742, 0.2484], [0.1597, 0.4097, 0.3194], [0.5000, 0.5000, 0.0000], [0.8403, 0.5903, 0.6806], [0.4358, 0.6139, 0.2644], [0.0000, 0.0000, 0.5000], [0.1714, 0.8495, 0.7356], [0.6196, 0.8696, 0.2393], [0.1714, 0.3861, 0.7356], [0.8286, 0.1505, 0.2644], [0.8286, 0.6139, 0.2644], [0.5000, 0.0000, 0.0000], [0.5642, 0.8495, 0.7356], [0.3804, 0.1304, 0.7607], [0.4358, 0.1505, 0.2644], [0.5000, 0.0000, 0.5000], [0.8758, 0.1258, 0.7516], [0.5642, 0.3861, 0.7356]]
}

***

2.
{
  "formula": "K2HoCuF6",
  "functional": "GGA-PBE",
  "state": "relaxed",
  "final_energy_ev_per_cell": -102.7,
  "lattice": [[-5.8317, 1.8808, -2.7529], [-3.0748, -5.0297, 3.0772], [-1.4634, 4.7957, 6.3763]],
  "species": ["Ho", "Cu", "K", "F", "F", "F", "Cu", "F", "F", "F", "K", "K", "F", "F", "Ho", "F", "F", "F", "K", "F"],
  "fractional_positions": [[0.5000, 0.3015, 0.0000], [0.0000, 0.7346, 0.0000], [0.5000, 0.8156, 0.7596], [0.0000, 0.7569, 0.7635], [0.7947, 0.4509, 0.5000], [0.7599, 0.9180, 0.5000], [0.5000, 0.2654, 0.5000], [0.5000, 0.2431, 0.7365], [0.2599, 0.0820, 0.0000], [0.5000, 0.2431, 0.2635], [0.0000, 0.1844, 0.2596], [0.0000, 0.1844, 0.7404], [0.7401, 0.0820, 0.0000], [0.2947, 0.5491, 0.0000], [0.0000, 0.6985, 0.5000], [0.2053, 0.4509, 0.5000], [0.0000, 0.7569, 0.2365], [0.2401, 0.9180, 0.5000], [0.5000, 0.8156, 0.2404], [0.7053, 0.5491, 0.0000]]
}

***

3.
{
  "formula": "K2HoCu3F12",
  "functional": "GGA-PBE",
  "state": "relaxed",
  "n_ef_per_ev_atom": 0.245,
  "final_energy_ev_per_cell": -84.2,
  "lattice": [[7.2645, -0.0854, -0.0606], [3.5133, 6.3590, -0.0606], [3.5133, 2.0451, 6.0215]],
  "species": ["F", "Cu", "F", "F", "F", "F", "F", "Ho", "F", "F", "F", "F", "K", "Cu", "Cu", "F", "F", "K"],
  "fractional_positions": [[0.2982, 0.9106, 0.2982], [0.0000, 0.0000, 0.5000], [0.6373, 0.1014, 0.1014], [0.7018, 0.7018, 0.0894], [0.1014, 0.6373, 0.1014], [0.8986, 0.8986, 0.3627], [0.9106, 0.2982, 0.2982], [0.0000, 0.0000, 0.0000], [0.3627, 0.8986, 0.8986], [0.8986, 0.3627, 0.8986], [0.1014, 0.1014, 0.6373], [0.0894, 0.7018, 0.7018], [0.3805, 0.3805, 0.3805], [0.0000, 0.5000, 0.0000], [0.5000, 0.0000, 0.0000], [0.7018, 0.0894, 0.7018], [0.2982, 0.2982, 0.9106], [0.6195, 0.6195, 0.6195]]
}

***

4.
{
  "formula": "NaHoCuF6",
  "functional": "GGA-PBE",
  "state": "relaxed",
  "n_ef_per_ev_atom": 0.751,
  "final_energy_ev_per_cell": -94.6,
  "lattice": [[-2.9405, 4.1178, 2.4178], [-0.6047, -5.2879, 1.7668], [7.1067, 1.3225, 6.3905]],
  "species": ["F", "F", "F", "F", "Na", "Ho", "F", "F", "F", "Cu", "Cu", "F", "Na", "F", "Ho", "F", "F", "F"],
  "fractional_positions": [[0.9831, 0.6373, 0.3644], [0.6373, 0.6543, 0.6356], [0.9831, 0.3457, 0.1356], [0.0169, 0.6543, 0.8644], [0.0000, 0.0000, 0.5000], [0.3333, 0.6667, 0.2500], [0.3627, 0.3457, 0.3644], [0.3458, 0.3627, 0.8644], [0.6373, 0.9831, 0.8644], [0.6667, 0.3333, 0.2500], [0.3333, 0.6667, 0.7500], [0.6542, 0.0169, 0.3644], [0.0000, 0.0000, 0.0000], [0.0169, 0.3627, 0.6356], [0.6667, 0.3333, 0.7500], [0.3458, 0.9831, 0.6356], [0.6542, 0.6373, 0.1356], [0.3627, 0.0169, 0.1356]]
}

***

5.
{
  "formula": "Na2HoCuF6",
  "functional": "GGA-PBE",
  "state": "relaxed",
  "n_ef_per_ev_atom": 0.000,
  "final_energy_ev_per_cell": -103.7,
  "lattice": [[-3.8332, -2.5005, 3.4800], [3.7232, -3.8582, 1.3288], [3.1432, 5.5992, 7.4507]],
  "species": ["Ho", "F", "F", "F", "F", "F", "F", "F", "Na", "F", "Na", "Cu", "F", "Cu", "Na", "F", "Na", "F", "F", "Ho"],
  "fractional_positions": [[0.0000, 0.5000, 0.5000], [0.6741, 0.2871, 0.4998], [0.8316, 0.7150, 0.3447], [0.8318, 0.7150, 0.6551], [0.3316, 0.7850, 0.8447], [0.1684, 0.2850, 0.6553], [0.3259, 0.7129, 0.5002], [0.3318, 0.7850, 0.1551], [0.5002, 0.5003, 0.7138], [0.6682, 0.2150, 0.8449], [0.0002, 0.9997, 0.2138], [0.5000, 0.0000, 0.5000], [0.1741, 0.2129, 0.9998], [0.0000, 0.5000, 0.0000], [0.4998, 0.4997, 0.2862], [0.1682, 0.2850, 0.3449], [0.9998, 0.0003, 0.7862], [0.8259, 0.7871, 0.0002], [0.6684, 0.2150, 0.1553], [0.5000, 0.0000, 0.0000]]
}

***

6.
{
  "formula": "RbHoCu2F8",
  "functional": "GGA-PBE",
  "state": "relaxed",
  "n_ef_per_ev_atom": 1.320,
  "final_energy_ev_per_cell": -58.3,
  "lattice": [[6.0073, 0.0000, 0.0000], [-3.0037, 5.2025, 0.0000], [0.0000, 0.0000, 7.8001]],
  "species": ["F", "F", "Cu", "F", "Ho", "F", "F", "F", "Cu", "Rb", "F", "F"],
  "fractional_positions": [[0.6785, 0.8393, 0.8239], [0.6667, 0.3333, 0.5108], [0.3333, 0.6667, 0.7227], [0.3333, 0.6667, 0.4892], [0.0000, 0.0000, 0.0000], [0.8393, 0.6785, 0.1761], [0.1607, 0.3215, 0.8239], [0.1607, 0.8393, 0.8239], [0.6667, 0.3333, 0.2773], [0.0000, 0.0000, 0.5000], [0.8393, 0.1607, 0.1761], [0.3215, 0.1607, 0.1761]]
}

***

7.
{
  "formula": "Rb2HoCu3F12",
  "functional": "GGA-PBE",
  "state": "relaxed",
  "n_ef_per_ev_atom": 0.287,
  "final_energy_ev_per_cell": -84.3,
  "lattice": [[7.4516, 0.0284, 0.0201], [3.7047, 6.4654, 0.0201], [3.7047, 2.1564, 6.0953]],
  "species": ["Ho", "F", "F", "Rb", "Rb", "Cu", "F", "F", "F", "F", "Cu", "F", "F", "F", "F", "Cu", "F", "F"],
  "fractional_positions": [[0.0000, 0.0000, 0.0000], [0.6454, 0.0911, 0.0911], [0.9151, 0.3044, 0.3044], [0.3875, 0.3875, 0.3875], [0.6125, 0.6125, 0.6125], [0.0000, 0.5000, 0.0000], [0.3546, 0.9089, 0.9089], [0.6956, 0.6956, 0.0849], [0.0911, 0.6454, 0.0911], [0.9089, 0.9089, 0.3546], [0.0000, 0.0000, 0.5000], [0.6956, 0.0849, 0.6956], [0.3044, 0.9151, 0.3044], [0.9089, 0.3546, 0.9089], [0.0849, 0.6956, 0.6956], [0.5000, 0.0000, 0.0000], [0.3044, 0.3044, 0.9151], [0.0911, 0.0911, 0.6454]]
}

***

8.
{
  "formula": "RbHoCuF6",
  "functional": "GGA-PBE",
  "state": "relaxed",
  "n_ef_per_ev_atom": 0.441,
  "final_energy_ev_per_cell": -94.7,
  "lattice": [[-0.2909, -8.0600, 0.7027], [7.5396, -0.3106, -0.4412], [-3.2847, 4.6506, 5.3464]],
  "species": ["F", "Ho", "F", "F", "F", "F", "F", "F", "F", "F", "Rb", "Cu", "Rb", "Cu", "F", "F", "F", "Ho"],
  "fractional_positions": [[0.5460, 0.3352, 0.7318], [0.5000, 0.0000, 0.5000], [0.8143, 0.1035, 0.2682], [0.5460, 0.8965, 0.7318], [0.4617, 0.7117, 0.9234], [0.8143, 0.6648, 0.2682], [0.4540, 0.6648, 0.2682], [0.1857, 0.3352, 0.7318], [0.1718, 0.9218, 0.3436], [0.4540, 0.1035, 0.2682], [0.7970, 0.5470, 0.5941], [0.5000, 0.5000, 0.0000], [0.2030, 0.4530, 0.4059], [0.5000, 0.0000, 0.0000], [0.1857, 0.8965, 0.7318], [0.5383, 0.2883, 0.0766], [0.8282, 0.0782, 0.6564], [0.0000, 0.0000, 0.5000]]
}

***

9.
{
  "formula": "HoTlCu2F8",
  "functional": "GGA-PBE",
  "state": "relaxed",
  "n_ef_per_ev_atom": 1.290,
  "final_energy_ev_per_cell": -57.5,
  "lattice": [[5.8273, 0.0000, 0.0000], [-2.9137, 5.0466, 0.0000], [0.0000, 0.0000, 7.8396]],
  "species": ["F", "F", "F", "F", "F", "F", "F", "Cu", "F", "Ho", "Cu", "Tl"],
  "fractional_positions": [[0.8342, 0.1658, 0.1753], [0.1658, 0.3315, 0.8247], [0.8342, 0.6685, 0.1753], [0.1658, 0.8342, 0.8247], [0.3315, 0.1658, 0.1753], [0.6685, 0.8342, 0.8247], [0.6667, 0.3333, 0.5343], [0.6667, 0.3333, 0.2992], [0.3333, 0.6667, 0.4657], [0.0000, 0.0000, 0.0000], [0.3333, 0.6667, 0.7008], [0.0000, 0.0000, 0.5000]]
}

***

10.
{
  "formula": "HoTl2Cu3F12",
  "functional": "GGA-PBE",
  "state": "relaxed",
  "n_ef_per_ev_atom": 0.256,
  "final_energy_ev_per_cell": -82.6,
  "lattice": [[-3.7469, -5.7872, -2.5741], [-3.3598, -4.4750, 4.7794], [-7.3493, 0.0670, 0.3749]],
  "species": ["F", "F", "F", "F", "F", "F", "Cu", "F", "Cu", "F", "Cu", "F", "Tl", "F", "Ho", "F", "F", "Tl"],
  "fractional_positions": [[0.9057, 0.3569, 0.9057], [0.6431, 0.0943, 0.0943], [0.0943, 0.6431, 0.0943], [0.6978, 0.0862, 0.6978], [0.3569, 0.9057, 0.9057], [0.0943, 0.0943, 0.6431], [0.0000, 0.5000, 0.0000], [0.9057, 0.9057, 0.3569], [0.0000, 0.0000, 0.5000], [0.3022, 0.3022, 0.9138], [0.5000, 0.0000, 0.0000], [0.0862, 0.6978, 0.6978], [0.3891, 0.3891, 0.3891], [0.9138, 0.3022, 0.3022], [0.0000, 0.0000, 0.0000], [0.3022, 0.9138, 0.3022], [0.6978, 0.6978, 0.0862], [0.6109, 0.6109, 0.6109]]
}

***

11.
{
  "formula": "Cu2IF",
  "functional": "GGA-PBE",
  "state": "relaxed",
  "n_ef_per_ev_atom": 0.000,
  "final_energy_ev_per_cell": -12.6,
  "polymorph_energy_mev_per_atom": 225.9,
  "lattice": [[0.0000, 3.1701, 3.1701], [3.1701, 0.0000, 3.1701], [3.1701, 3.1701, 0.0000]],
  "species": ["Cu", "I", "Cu", "F"],
  "fractional_positions": [[0.2500, 0.2500, 0.2500], [0.5000, 0.5000, 0.5000], [0.7500, 0.7500, 0.7500], [0.0000, 0.0000, 0.0000]]
}

***

12.
{
  "formula": "Cu2I4F",
  "functional": "GGA-PBE",
  "state": "relaxed",
  "n_ef_per_ev_atom": 0.801,
  "final_energy_ev_per_cell": -36.6,
  "lattice": [[7.9261, 0.2358, -0.1393], [-0.3387, 7.9155, 0.1422], [-3.6982, -4.1701, 6.5797]],
  "species": ["I", "Cu", "I", "I", "I", "F", "Cu", "F", "Cu", "I", "I", "Cu", "I", "I"],
  "fractional_positions": [[0.4003, 0.1603, 0.7961], [0.5990, 0.8774, 0.2094], [0.4053, 0.1480, 0.2962], [0.9113, 0.5868, 0.8266], [0.8643, 0.6603, 0.3260], [0.1270, 0.6498, 0.3302], [0.6077, 0.3359, 0.2159], [0.9384, 0.9528, 0.8303], [0.1296, 0.3579, 0.7163], [0.3965, 0.6408, 0.7965], [0.4892, 0.6633, 0.3269], [0.5793, 0.3595, 0.7072], [0.8851, 0.1462, 0.2961], [0.9170, 0.2110, 0.8263]]
}

***

13.
{
  "formula": "CuIF2",
  "functional": "GGA-PBE",
  "state": "relaxed",
  "n_ef_per_ev_atom": 1.207,
  "final_energy_ev_per_cell": -12.1,
  "polymorph_energy_mev_per_atom": 367.7,
  "lattice": [[3.0620, 7.5815, 2.3933], [1.9924, 6.4025, 5.2556], [4.9541, 5.5583, 4.1407]],
  "species": ["I", "F", "F", "Cu"],
  "fractional_positions": [[0.5000, 0.5000, 0.5000], [0.9291, 0.9291, 0.9291], [0.0709, 0.0709, 0.0709], [0.0000, 0.0000, 0.0000]]
}

***

14.
{
  "formula": "Cu2IF",
  "functional": "GGA-PBE",
  "state": "relaxed",
  "n_ef_per_ev_atom": 0.611,
  "final_energy_ev_per_cell": -12.4,
  "polymorph_energy_mev_per_atom": 256.4,
  "lattice": [[-2.6707, -2.7047, -0.9602], [-0.2161, -3.3480, 2.0284], [-4.9946, 0.5891, 4.2291]],
  "species": ["F", "Cu", "Cu", "I"],
  "fractional_positions": [[0.5000, 0.5000, 0.5000], [0.8644, 0.8644, 0.4069], [0.1356, 0.1356, 0.5931], [0.0000, 0.0000, 0.0000]]
}

***

15.
{
  "formula": "CuIF2",
  "functional": "GGA-PBE",
  "state": "relaxed",
  "n_ef_per_ev_atom": 0.229,
  "final_energy_ev_per_cell": -27.2,
  "polymorph_energy_mev_per_atom": 0.0,
  "lattice": [[2.9568, -0.0043, 0.0000], [-1.4843, 8.1005, 0.0000], [0.0000, 0.0000, 6.9376]],
  "species": ["I", "F", "I", "Cu", "F", "F", "F", "Cu"],
  "fractional_positions": [[0.9738, 0.9495, 0.2500], [0.6711, 0.3518, 0.4296], [0.0262, 0.0505, 0.7500], [0.1710, 0.3523, 0.2500], [0.3289, 0.6482, 0.9296], [0.6711, 0.3518, 0.0704], [0.3289, 0.6482, 0.5704], [0.8290, 0.6477, 0.7500]]
}

***

16.
{
  "formula": "Cu4IF5",
  "functional": "GGA-PBE",
  "state": "relaxed",
  "n_ef_per_ev_atom": 0.439,
  "final_energy_ev_per_cell": -76.7,
  "lattice": [[4.8935, 0.0000, 0.0000], [0.0000, 6.2066, 0.0000], [0.0000, 0.0000, 11.1719]],
  "species": ["F", "Cu", "F", "I", "F", "Cu", "F", "Cu", "Cu", "F", "I", "F", "F", "Cu", "F", "Cu", "F", "F", "Cu", "Cu"],
  "fractional_positions": [[0.4561, 0.0000, 0.5000], [0.7831, 0.2445, 0.0000], [0.2861, 0.2570, 0.6833], [0.8047, 0.5000, 0.5000], [0.5439, 0.5000, 0.0000], [0.2169, 0.2555, 0.5000], [0.2861, 0.7430, 0.3167], [0.5173, 0.5000, 0.7483], [0.2169, 0.7445, 0.5000], [0.2861, 0.2570, 0.3167], [0.1953, 0.0000, 0.0000], [0.7139, 0.2430, 0.1833], [0.2861, 0.7430, 0.6833], [0.5173, 0.5000, 0.2517], [0.7139, 0.2430, 0.8167], [0.4827, 0.0000, 0.7517], [0.7139, 0.7570, 0.8167], [0.7139, 0.7570, 0.1833], [0.4827, 0.0000, 0.2483], [0.7831, 0.7555, 0.0000]]
}

***

17.
{
  "formula": "CuIF2",
  "functional": "GGA-PBE",
  "state": "relaxed",
  "n_ef_per_ev_atom": 0.784,
  "final_energy_ev_per_cell": -13.3,
  "polymorph_energy_mev_per_atom": 61.8,
  "lattice": [[-8.9237, 1.4555, 2.3912], [-7.5152, 1.7064, 5.2989], [-7.6254, 4.2740, 3.3249]],
  "species": ["F", "F", "Cu", "I"],
  "fractional_positions": [[0.8668, 0.8668, 0.8668], [0.1332, 0.1332, 0.1332], [0.5000, 0.5000, 0.5000], [0.0000, 0.0000, 0.0000]]
}

***

18.
{
  "formula": "Cu3IF",
  "functional": "GGA-PBE",
  "state": "relaxed",
  "n_ef_per_ev_atom": 0.556,
  "final_energy_ev_per_cell": -12.7,
  "polymorph_energy_mev_per_atom": 492.5,
  "lattice": [[4.9794, 0.0000, 0.0000], [0.0000, 4.9794, 0.0000], [0.0000, 0.0000, 4.9794]],
  "species": ["F", "I", "Cu", "Cu", "Cu"],
  "fractional_positions": [[0.5000, 0.5000, 0.5000], [0.0000, 0.0000, 0.0000], [0.5000, 0.0000, 0.0000], [0.0000, 0.0000, 0.5000], [0.0000, 0.5000, 0.0000]]
}